VASP calculation (PBE) on an optimized crystal structure of Cs2Ag2Te.

Output
energy relative to the elements, uncorrected	-179	kJ/mol of formula units
total magnetic moment	0.00	μB per atom
raw total energy	-2.48	eV/atom
DOS(E_F)	0.0000	states/eV/atom
energy relative to the lowest polymorph listed for this composition	0	meV per atom

Unit cell a=6.546 b=6.546 c=6.546 alpha=113.04 beta=113.04 gamma=102.54
Sites, in units of the cell vectors:
Cs1 0.250 0.750 0.500
Cs2 0.750 0.250 0.500
Ag1 0.161 0.161 0.000
Ag2 0.839 0.839 0.000
Te1 0.500 0.500 0.000